Tl4Fe5 | the Alexandria database | PBE | relaxed; energy above the lowest structure with this stoichiometry = 190 meV/atom; energy of formation from the pure elements = 0.698 eV/atom; magnetic moment = 24.6 μB/cell; uncorrected energy = -5.056 eV per atom
1.0
8.069 0.000 0.000
-4.034 6.988 0.000
0.000 0.000 5.532
Tl Fe
8 10
Cartesian
0.000 0.000 0.000 Tl
0.000 0.000 2.766 Tl
-1.507 2.610 1.383 Tl
-2.528 4.378 4.149 Tl
3.014 0.000 1.383 Tl
1.507 2.610 4.149 Tl
5.055 0.000 4.149 Tl
2.528 4.378 1.383 Tl
-1.214 2.102 4.149 Fe
-2.821 4.886 1.383 Fe
2.427 0.000 4.149 Fe
1.214 2.102 1.383 Fe
0.000 4.659 0.000 Fe
0.000 4.659 2.766 Fe
4.034 2.329 0.000 Fe
4.034 2.329 2.766 Fe
5.641 0.000 1.383 Fe
2.821 4.886 4.149 Fe



LiMg2Cd | the Alexandria database | PBE | relaxed; energy of formation from the pure elements = -0.091 eV/atom; magnetic moment = 0.0 μB/cell; uncorrected energy = -1.595 eV per atom
1.0
6.042 0.000 0.000
0.000 10.028 0.000
-1.224 0.000 2.775
Li Mg Cd
2 4 2
Cartesian
0.000 0.000 0.000 Li
3.021 5.014 0.000 Li
0.898 2.507 1.387 Mg
0.898 7.521 1.387 Mg
3.920 2.507 1.387 Mg
3.920 7.521 1.387 Mg
0.000 5.014 0.000 Cd
3.021 0.000 0.000 Cd



HoTm3Cu2 | the Alexandria database | PBE | relaxed; energy above the lowest structure with this stoichiometry = 183 meV/atom; energy of formation from the pure elements = -0.004 eV/atom; magnetic moment = 0.0 μB/cell; uncorrected energy = -4.368 eV per atom
1.0
-3.353 6.635 3.530
3.353 -6.635 3.530
3.353 6.635 -3.530
Ho Tm Cu
2 6 4
Cartesian
0.000 0.000 0.000 Ho
0.000 0.000 3.530 Ho
3.353 3.525 -1.765 Tm
3.353 0.000 1.765 Tm
0.000 3.109 1.765 Tm
3.353 3.525 1.765 Tm
0.000 6.635 1.765 Tm
0.000 3.109 5.295 Tm
4.747 1.883 0.000 Cu
1.394 4.752 0.000 Cu
1.959 1.883 3.530 Cu
-1.394 4.752 3.530 Cu



BaCa2Mg | the Alexandria database | PBE | relaxed; energy of formation from the pure elements = 0.109 eV/atom; magnetic moment = 0.0 μB/cell; uncorrected energy = -1.771 eV per atom
1.0
7.649 0.000 0.000
0.000 10.877 0.000
0.000 0.000 3.957
Ba Ca Mg
2 4 2
Cartesian
0.000 0.000 0.000 Ba
3.825 5.438 0.000 Ba
1.912 2.719 1.978 Ca
1.912 8.158 1.978 Ca
5.737 2.719 1.978 Ca
5.737 8.158 1.978 Ca
0.000 5.438 0.000 Mg
3.825 0.000 0.000 Mg



Hf2ThCo | the Alexandria database | PBE | relaxed; energy above the lowest structure with this stoichiometry = 86 meV/atom; energy of formation from the pure elements = -0.088 eV/atom; magnetic moment = 0.1 μB/cell; uncorrected energy = -8.696 eV per atom
1.0
3.268 0.000 0.000
0.000 3.268 0.000
0.000 0.000 7.922
Hf Th Co
2 1 1
Cartesian
0.000 0.000 1.479 Hf
0.000 0.000 6.444 Hf
1.634 1.634 3.961 Th
1.634 1.634 0.000 Co



ZnGa2Au | the Alexandria database | PBE | relaxed; energy of formation from the pure elements = -0.119 eV/atom; magnetic moment = 0.0 μB/cell; uncorrected energy = -2.770 eV per atom
1.0
4.042 0.000 0.000
0.000 7.897 0.000
-1.903 0.000 4.565
Zn Ga Au
2 4 2
Cartesian
0.062 1.974 0.787 Zn
2.076 5.923 3.778 Zn
0.096 0.307 3.323 Ga
0.096 3.642 3.323 Ga
2.042 4.255 1.242 Ga
2.042 7.590 1.242 Ga
0.008 5.923 1.841 Au
2.131 1.974 2.724 Au



LiIn2P | the Alexandria database | PBE | relaxed; energy of formation from the pure elements = -0.035 eV/atom; magnetic moment = 0.0 μB/cell; uncorrected energy = -3.235 eV per atom
1.0
4.343 0.000 0.000
0.000 4.343 0.000
0.000 0.000 4.421
Li In P
1 2 1
Cartesian
0.000 0.000 0.000 Li
0.000 2.171 2.210 In
2.171 0.000 2.210 In
2.171 2.171 0.000 P



LaPmNd6Ho2 | the Alexandria database | PBE | relaxed; energy of formation from the pure elements = 0.112 eV/atom; magnetic moment = 0.0 μB/cell; uncorrected energy = -4.632 eV per atom
1.0
4.679 -7.673 0.000
4.679 7.673 0.000
-1.336 0.000 9.733
La Pm Nd Ho
2 2 12 4
Cartesian
3.676 6.226 7.300 La
4.344 -6.226 2.433 La
4.344 0.478 2.433 Pm
3.676 -0.478 7.300 Pm
3.271 6.019 3.695 Nd
2.490 3.477 1.760 Nd
5.418 6.019 1.172 Nd
3.314 2.698 5.414 Nd
4.038 2.698 9.186 Nd
6.199 3.477 3.106 Nd
1.822 -3.477 6.627 Nd
3.982 -2.698 0.547 Nd
4.706 -2.698 4.319 Nd
2.603 -6.019 8.561 Nd
5.531 -3.477 7.973 Nd
4.750 -6.019 6.038 Nd
1.120 0.742 9.272 Ho
1.788 -0.742 4.405 Ho
6.233 0.742 5.328 Ho
6.901 -0.742 0.461 Ho



EuAgBr2 | the Alexandria database | PBE | relaxed; uncorrected formation energy = -0.71 eV/atom; magnetic moment = 22.6 μB/cell; uncorrected energy = -4.823 eV per atom
1.0
4.251 0.000 0.000
-2.125 3.681 0.000
0.000 0.000 26.774
Eu Ag Br
3 3 6
Cartesian
0.000 0.000 0.000 Eu
0.000 2.454 17.849 Eu
2.125 1.227 8.925 Eu
0.000 0.000 13.387 Ag
0.000 2.454 4.462 Ag
2.125 1.227 22.312 Ag
0.000 0.000 2.900 Br
0.000 0.000 23.874 Br
0.000 2.454 14.949 Br
0.000 2.454 20.750 Br
2.125 1.227 6.025 Br
2.125 1.227 11.825 Br



La2Tl2I | the Alexandria database | PBE | relaxed; energy above the lowest structure with this stoichiometry = 0 meV/atom; uncorrected formation energy = -0.57 eV/atom; magnetic moment = 0.0 μB/cell; uncorrected energy = -3.794 eV per atom
1.0
8.525 0.000 0.000
0.000 8.525 0.000
0.000 0.000 4.784
La Tl I
4 4 2
Cartesian
1.393 2.869 0.000 La
2.869 7.132 0.000 La
5.656 1.393 0.000 La
7.132 5.656 0.000 La
1.151 5.414 2.392 Tl
3.111 1.151 2.392 Tl
5.414 7.374 2.392 Tl
7.374 3.111 2.392 Tl
0.000 0.000 0.000 I
4.263 4.263 0.000 I